Entry 1:
Material: AlWCl2
Method: DFT, GGA-PBE
State: optimized geometry

Results
Its relative energy among the computed polymorphs is 0.875 eV/atom. For the energy relative to the elements, uncorrected, the calculation gives 0.47 eV/atom. Its volume is 17.40 Å³/atom. The magnetization is 0.947 μB per formula unit. As for the density of states at the Fermi level: 5.17 states/eV per cell.

a = 5.762 Å, b = 9.029 Å, c = 2.960 Å
α = 90.00°, β = 115.34°, γ = 90.00°
Space group C2/m (No. 12)
Asymmetric unit:
1 Al 0.000 0.000 0.000 x2
2 W 0.000 0.500 0.000 x2
3 Cl 0.250 0.250 0.000 x4

---

Entry 2:
Material: AlWCl
Method: DFT, GGA-PBE
State: optimized geometry

Results
Its relative energy among the computed polymorphs is 0.000 eV/atom. For the energy relative to the elements, uncorrected, the calculation gives 0.18 eV/atom. Its volume is 19.63 Å³/atom. The magnetization is 0.000 μB per formula unit. As for the density of states at the Fermi level: 1.35 states/eV per cell.

a = 2.9206 Å, b = 2.9206 Å, c = 7.9725 Å
α = 90.00°, β = 90.00°, γ = 120.00°
Space group P3m1 (No. 156)
Asymmetric unit:
1 Al 0.0000 0.0000 0.0000 x1
2 W 0.3333 0.6667 0.7150 x1
3 Cl 0.6667 0.3333 0.4847 x1

---

Entry 3:
Material: AlWCl2
Method: DFT, GGA-PBE
State: optimized geometry

Results
Its relative energy among the computed polymorphs is 0.523 eV/atom. For the energy relative to the elements, uncorrected, the calculation gives 0.12 eV/atom. Its volume is 18.63 Å³/atom. The magnetization is 0.000 μB per formula unit. As for the density of states at the Fermi level: 6.68 states/eV per cell.

a = 3.0214 Å, b = 3.0214 Å, c = 28.2826 Å
α = 90.00°, β = 90.00°, γ = 120.00°
Space group R-3m (No. 166, hexagonal axes)
Asymmetric unit:
1 Al 0.0000 0.0000 0.0000 x3
2 W 0.0000 0.0000 0.5000 x3
3 Cl 0.0000 0.0000 0.4186 x6

---

Entry 4:
Material: AlWCl2
Method: DFT, GGA-PBE
State: optimized geometry

Results
Its relative energy among the computed polymorphs is 1.329 eV/atom. For the energy relative to the elements, uncorrected, the calculation gives 0.93 eV/atom. Its volume is 18.25 Å³/atom. The magnetization is 1.754 μB per formula unit. As for the density of states at the Fermi level: 1.97 states/eV per cell.

a = 4.122 Å, b = 4.122 Å, c = 4.297 Å
α = 90.00°, β = 90.00°, γ = 90.00°
Space group P4/mmm (No. 123)
Asymmetric unit:
1 Al 0.000 0.000 0.000 x1
2 W 0.500 0.500 0.000 x1
3 Cl 0.000 0.500 0.500 x2

---

Entry 5:
Material: AlWCl2
Method: DFT, GGA-PBE
State: optimized geometry

Results
Its relative energy among the computed polymorphs is 0.548 eV/atom. For the energy relative to the elements, uncorrected, the calculation gives 0.14 eV/atom. Its volume is 23.45 Å³/atom. The magnetization is 0.000 μB per formula unit. As for the density of states at the Fermi level: 5.29 states/eV per cell.

a = 3.0408 Å, b = 3.0408 Å, c = 35.1474 Å
α = 90.00°, β = 90.00°, γ = 120.00°
Space group R-3m (No. 166, hexagonal axes)
Asymmetric unit:
1 Al 0.0000 0.0000 0.0000 x3
2 W 0.0000 0.0000 0.5000 x3
3 Cl 0.0000 0.0000 0.1160 x6

---

Entry 6:
Material: AlWCl
Method: DFT, GGA-PBE
State: optimized geometry

Results
Its relative energy among the computed polymorphs is 0.316 eV/atom. For the energy relative to the elements, uncorrected, the calculation gives 0.50 eV/atom. Its volume is 16.17 Å³/atom. The magnetization is 0.001 μB per formula unit. As for the density of states at the Fermi level: 2.28 states/eV per cell.

a = 4.4262 Å, b = 4.4262 Å, c = 2.8583 Å
α = 90.00°, β = 90.00°, γ = 120.00°
Space group P-6m2 (No. 187)
Asymmetric unit:
1 Al 0.0000 0.0000 0.0000 x1
2 W 0.3333 0.6667 0.5000 x1
3 Cl 0.6667 0.3333 0.5000 x1